Record 1
Computed, not measured: crystalline Te3P at its relaxed geometry at the PBE level of DFT.

Lattice parameters (Å, degrees): 7.9761 7.9761 4.0509 90.00 90.00 120.00
Element x y z (fractional)
Te  0.8127  0.6255  0.2500
Te  0.3745  0.1873  0.2500
Te  0.8127  0.1873  0.2500
Te  0.1873  0.3745  0.7500
Te  0.6255  0.8127  0.7500
Te  0.1873  0.8127  0.7500
P  0.3333  0.6667  0.2500
P  0.6667  0.3333  0.7500

Computed properties:
formation energy (no corrections)	0.331	eV/atom
energy above the most stable polymorph in this dataset	143	meV per atom
volume	111.6	Å³/f.u.
magnetization	0.0	μB/f.u.
mass density	6.16	g cm⁻³
N(E_F)	5.69	states/eV per cell



Record 2
Computed, not measured: crystalline BaMoSe4 at its relaxed geometry at the PBE level of DFT.

Lattice parameters (Å, degrees): 6.0110 6.0110 6.0110 60.00 60.00 60.00
Element x y z (fractional)
Ba  0.7500  0.7500  0.7500
Mo  0.0000  0.0000  0.0000
Se  0.8781  0.3740  0.3740
Se  0.3740  0.3740  0.8781
Se  0.3740  0.8781  0.3740
Se  0.3740  0.3740  0.3740

Computed properties:
formation energy (no corrections)	0.344	eV/atom
volume	153.6	Å³/f.u.
magnetization	4.6	μB/f.u.
mass density	5.94	g cm⁻³
N(E_F)	4.22	states/eV per cell



no.,raw total energy (eV per atom)
1,-3.378
2,-4.105